#a
Material: Dy3NbO7
Method: DFT, PBE-GGA
State: relaxed

Calculated values
Its space group is No. 2.

Lattice parameters (Å, degrees): 5.365 7.634 8.313 62.17 89.81 92.04
Positions (direct):
Dy1 0.998 0.002 0.998
Dy2 0.999 0.502 0.998
Dy3 0.532 0.886 0.751
Dy4 0.526 0.362 0.756
Dy5 0.471 0.642 0.241
Dy6 0.466 0.117 0.246
Nb1 0.997 0.263 0.519
Nb2 0.000 0.741 0.478
O1 0.752 0.723 0.021
O2 0.246 0.138 0.707
O3 0.772 0.481 0.464
O4 0.245 0.281 0.975
O5 0.260 0.745 0.975
O6 0.238 0.873 0.239
O7 0.784 0.651 0.703
O8 0.762 0.117 0.450
O9 0.235 0.887 0.546
O10 0.214 0.353 0.294
O11 0.738 0.257 0.021
O12 0.759 0.131 0.757
O13 0.225 0.523 0.533
O14 0.751 0.865 0.290

***

#b
Material: Dy3NbO7
Method: DFT, PBE-GGA
State: relaxed

Calculated values
Its space group is No. 20.

Lattice parameters (Å, degrees): 6.515 6.515 7.481 90.00 90.00 108.47
Positions (direct):
Dy1 0.459 0.459 0.500
Dy2 0.541 0.541 0.000
Dy3 0.537 0.000 0.261
Dy4 0.463 0.000 0.761
Dy5 0.000 0.537 0.739
Dy6 0.000 0.463 0.239
Nb1 0.997 0.997 0.500
Nb2 0.003 0.003 0.000
O1 0.695 0.953 0.549
O2 0.305 0.047 0.049
O3 0.953 0.695 0.451
O4 0.047 0.305 0.951
O5 0.085 0.332 0.522
O6 0.915 0.668 0.022
O7 0.332 0.085 0.478
O8 0.668 0.915 0.978
O9 0.371 0.629 0.250
O10 0.629 0.371 0.750
O11 0.640 0.360 0.250
O12 0.360 0.640 0.750
O13 0.928 0.072 0.250
O14 0.072 0.928 0.750

***

#c
Material: Dy3NbO7
Method: DFT, PBE-GGA
State: relaxed

Calculated values
Its space group is No. 67.

Lattice parameters (Å, degrees): 8.161 8.161 5.368 90.00 90.00 125.33
Positions (direct):
Dy1 0.500 0.000 0.000
Dy2 0.000 0.500 0.000
Dy3 0.120 0.880 0.471
Dy4 0.620 0.380 0.529
Dy5 0.380 0.620 0.471
Dy6 0.880 0.120 0.529
Nb1 0.250 0.250 0.000
Nb2 0.750 0.750 0.000
O1 0.250 0.750 0.243
O2 0.338 0.097 0.763
O3 0.488 0.512 0.213
O4 0.750 0.250 0.757
O5 0.903 0.662 0.763
O6 0.597 0.838 0.763
O7 0.838 0.597 0.237
O8 0.012 0.988 0.213
O9 0.988 0.012 0.787
O10 0.162 0.403 0.763
O11 0.097 0.338 0.237
O12 0.403 0.162 0.237
O13 0.512 0.488 0.787
O14 0.662 0.903 0.237

***

Stability ranking, top entry: #b; the second entry is 36 meV per atom less favorable.

***

#a
Material: DyScNb
Method: DFT, PBE-GGA
State: relaxed

Calculated values
Its space group is No. 107.

Lattice parameters (Å, degrees): 3.134 3.134 7.665 101.79 101.79 90.00
Positions (direct):
Sc1 0.314 0.314 0.628
Nb1 0.673 0.673 0.345
Dy1 0.013 0.013 0.026

***

#b
Material: DyScNb
Method: DFT, PBE-GGA
State: relaxed

Calculated values
Its space group is No. 166.

Lattice parameters (Å, degrees): 5.188 5.188 6.899 67.92 67.92 60.00
Positions (direct):
Sc1 0.572 0.572 0.285
Sc2 0.428 0.428 0.715
Nb1 0.298 0.298 0.107
Nb2 0.702 0.702 0.893
Dy1 0.889 0.889 0.334
Dy2 0.111 0.111 0.666

***

Stability ranking, top entry: #a; the second entry is 342 meV per atom less favorable.

***

#a
Material: DyNbSn2
Method: DFT, PBE-GGA
State: relaxed

Calculated values
Its space group is No. 123.

Lattice parameters (Å, degrees): 3.738 3.738 6.662 90.00 90.00 90.00
Positions (direct):
Nb1 0.500 0.500 0.000
Sn1 0.000 0.000 0.781
Sn2 0.000 0.000 0.219
Dy1 0.500 0.500 0.500

***

#b
Material: DyNbSn2
Method: DFT, PBE-GGA
State: relaxed

Calculated values
Its space group is No. 166.

Lattice parameters (Å, degrees): 3.205 3.205 11.377 81.90 81.90 60.00
Positions (direct):
Nb1 0.000 0.000 0.000
Sn1 0.085 0.085 0.746
Sn2 0.915 0.915 0.254
Dy1 0.500 0.500 0.500

***

Stability ranking, top entry: #a; the second entry is 481 meV per atom less favorable.

***

#a
Material: DyNbTc
Method: DFT, PBE-GGA
State: relaxed

Calculated values
Its space group is No. 107.

Lattice parameters (Å, degrees): 3.308 3.308 5.961 106.11 106.11 90.00
Positions (direct):
Nb1 0.307 0.307 0.613
Tc1 0.686 0.686 0.372
Dy1 0.008 0.008 0.015

***

#b
Material: DyNbTc
Method: DFT, PBE-GGA
State: relaxed

Calculated values
Its space group is No. 70.

Lattice parameters (Å, degrees): 5.001 5.640 10.283 83.81 75.93 63.68
Positions (direct):
Nb1 0.162 0.500 0.676
Nb2 0.338 0.500 0.324
Nb3 0.588 0.000 0.824
Nb4 0.412 0.000 0.176
Tc1 0.626 0.500 0.748
Tc2 0.874 0.500 0.252
Tc3 0.124 0.000 0.752
Tc4 0.876 0.000 0.248
Dy1 0.907 0.186 0.500
Dy2 0.593 0.814 0.500
Dy3 0.843 0.314 0.000
Dy4 0.157 0.686 0.000

***

Stability ranking, top entry: #a; the second entry is 146 meV per atom less favorable.